A relaxed structure of Er5SbAu2, computed with PBE.

Properties
**Electronic total energy**: -0.168 hartree per atom
**SG**: I4/mcm (140)

```
16
Lattice="3.9919 -1.0775 -6.0862 -5.3948 2.9284 -4.0569 4.1351 6.6598 5.9808" Properties=species:S:1:pos:R:3 pbc="T T T"
Au 0.7909 -0.0245 -2.7826
Au 1.4746 0.1491 -6.8125
Au -2.8775 1.7018 -3.3306
Au -2.1938 1.8754 -7.3605
Er 0.0000 0.0000 0.0000
Er -0.7015 0.9254 -5.0716
Er 4.6696 1.3578 -3.0668
Er 1.6272 2.6563 -2.4091
Er -1.3176 3.7101 -0.0795
Er -1.7723 4.3100 -3.3671
Er 4.5046 4.2007 -0.7953
Er 4.0498 4.8006 -4.0828
Er 1.1050 5.8544 -1.7533
Er -1.9374 7.1528 -1.0955
Sb 1.7168 3.7926 0.4546
Sb 1.0154 4.7181 -4.6170
```

A relaxed structure of ErScAu, computed with PBE.

Properties
**Electronic total energy**: -0.170 hartree per atom
**SG**: F-43m (216)

```
3
Lattice="-2.9611 -3.2831 1.4846 -4.2597 1.1962 1.4748 -3.7447 -1.0912 -2.5567" Properties=species:S:1:pos:R:3 pbc="T T T"
Au -2.7414 -0.7945 0.1007
Er -8.2241 -2.3836 0.3020
Sc 0.0000 0.0000 0.0000
```

A relaxed structure of ErScAu4, computed with PBE.

Properties
**Electronic total energy**: -0.178 hartree per atom
**SG**: P4/mmm (123)

```
6
Lattice="-1.2393 -2.6446 -2.1548 2.2181 1.1171 -2.6467 6.3511 -5.4415 3.0257" Properties=species:S:1:pos:R:3 pbc="T T T"
Au 1.4976 -1.6275 -1.9205
Au 2.0957 -1.7956 0.9984
Au 4.2554 -3.6459 2.0273
Au 5.8323 -5.3414 0.1446
Er 3.6649 -3.4845 -0.8879
Sc 0.0000 0.0000 0.0000
```